1.
The following is a GGA-PBE calculation of an optimized crystal structure of TiCu2Re, from the Alexandria database.

a = 3.562 Å, b = 3.562 Å, c = 9.751 Å
α = 79.47°, β = 79.47°, γ = 90.00°
Atoms (fractional coordinates):
Re 0.000 0.000 0.000
Re 0.750 0.250 0.500
Cu 0.635 0.125 0.250
Cu 0.115 0.625 0.250
Cu 0.375 0.365 0.750
Cu 0.875 0.885 0.750
Ti 0.500 0.500 0.000
Ti 0.250 0.750 0.500

## Properties
formation enthalpy at 0 K	0.47	eV per atom
D(E_F)	6.4	states/eV/cell



2.
The following is a GGA-PBE calculation of an optimized crystal structure of Ti3CuRe, from the Alexandria database.

a = 4.467 Å, b = 4.467 Å, c = 4.467 Å
α = 90.00°, β = 90.00°, γ = 90.00°
Atoms (fractional coordinates):
Re 0.500 0.500 0.500
Cu 0.000 0.000 0.000
Ti 0.000 0.500 0.000
Ti 0.000 0.000 0.500
Ti 0.500 0.000 0.000

## Properties
formation enthalpy at 0 K	0.95	eV per atom
polymorph energy (0 for the lowest one)	0.128	eV/atom
D(E_F)	8.8	states/eV/cell



3.
The following is a GGA-PBE calculation of an optimized crystal structure of Ti4CuRe, from the Alexandria database.

a = 3.105 Å, b = 3.105 Å, c = 9.758 Å
α = 90.00°, β = 90.00°, γ = 90.00°
Atoms (fractional coordinates):
Ti 0.500 0.500 0.844
Ti 0.500 0.500 0.156
Ti 0.000 0.000 0.663
Ti 0.000 0.000 0.337
Cu 0.500 0.500 0.500
Re 0.000 0.000 0.000

## Properties
formation enthalpy at 0 K	-0.15	eV per atom
polymorph energy (0 for the lowest one)	0.000	eV/atom
D(E_F)	9.1	states/eV/cell



4.
The following is a GGA-PBE calculation of an optimized crystal structure of Ti3CuRe, from the Alexandria database.

a = 4.741 Å, b = 4.741 Å, c = 4.741 Å
α = 90.00°, β = 90.00°, γ = 90.00°
Each line ends with the local moment (μB).
Atoms (fractional coordinates):
Re 0.000 0.000 0.000  -0.06
Cu 0.500 0.500 0.500  0.00
Ti 0.000 0.500 0.000  0.21
Ti 0.000 0.000 0.500  0.11
Ti 0.500 0.000 0.000  0.33

## Properties
formation enthalpy at 0 K	0.82	eV per atom
polymorph energy (0 for the lowest one)	0.000	eV/atom
D(E_F)	8.4	states/eV/cell